First-principles (PBE+U) data for an optimized crystal structure of Ba3Pu2NiO9, as listed in Alexandria via LeMat-Bulk.

a b c (Å): 6.0068 6.0068 7.4394
angles (deg): 90.00 90.00 120.00
Space group P-3m1 (No. 164)
One atom of each set of equivalent atoms:
1 Ba 0.0000 0.0000 0.0000 x1
2 Ba 0.3333 0.6667 0.6506 x2
3 Pu 0.3333 0.6667 0.1748 x2
4 Ni 0.0000 0.0000 0.5000 x1
5 O 0.0000 0.5000 0.0000 x3
6 O 0.1669 0.3338 0.3339 x6

Output
Total energy ... -121.267 eV per formula unit
Fermi-level density of states ... 9.5 states/eV/cell